A relaxed KNp2ReO8 crystal. Source: Alexandria, functional PBE-GGA.

a b c (Å): 5.0363 5.0240 6.9464
angles (deg): 89.98 89.98 88.07
With the nearest neighbours (Å) after each atom.
Atoms (fractional coordinates):
O  0.7174  0.7193  0.0000  1 Re 2.04
O  0.1974  0.8000  0.1924  1 Re 1.93, 1 Np 2.14
O  0.6625  0.6674  0.5001  2 Np 2.13
O  0.8024  0.1998  0.1924  1 Re 1.93, 1 Np 2.14
O  0.1976  0.8002  0.8076  1 Re 1.93, 1 Np 2.14
O  0.3375  0.3326  0.4999  2 Np 2.13
O  0.2826  0.2807  0.0000  1 Re 2.04
O  0.8026  0.2000  0.8076  1 Re 1.93, 1 Np 2.14
Re  0.0000  0.0000  0.0000  6 O 1.93-2.04
Np  0.4999  0.4999  0.7539  6 O 2.13-2.33
Np  0.5001  0.5001  0.2461  6 O 2.13-2.33
K  0.0000  0.0000  0.5000  6 O 2.42-2.55

## Properties
* formation energy (no corrections): -2.281 eV per atom
* crystal system: monoclinic
* total energy: -8.87 eV/atom
* M_tot: 6.0 μB per formula unit
* D(E_F): 0.643 states/eV/atom
* space-group type: No. 10

---

A relaxed Ta2RuAu crystal. Source: Alexandria, functional PBE-GGA.

a b c (Å): 3.2897 3.2897 6.3078
angles (deg): 90.00 90.00 90.00
With the nearest neighbours (Å) after each atom.
Atoms (fractional coordinates):
Ru  0.5000  0.5000  0.7718  4 Ta 2.66, 4 Au 2.90
Ta  0.5000  0.5000  0.2533  4 Au 2.79, 4 Ta 2.91, 1 Ru 3.04
Ta  0.0000  0.0000  0.9769  4 Ru 2.66, 4 Ta 2.91
Au  0.0000  0.0000  0.4980  5 Ta 2.79-3.02, 4 Ru 2.90

## Properties
* distance to the lowest polymorph of the same formula: 24 meV per atom
* energy of formation from the pure elements: -0.139 eV per atom
* crystal system: tetragonal
* total energy: -9.20 eV/atom
* M_tot: 0.0 μB per formula unit
* D(E_F): 0.787 states/eV/atom
* space-group type: No. 99

---

A relaxed Mg5Hg12Rh3 crystal. Source: Alexandria, functional PBE-GGA.

a b c (Å): 14.0426 14.0426 14.0426
angles (deg): 109.47 109.47 109.47
With the nearest neighbours (Å) after each atom.
Atoms (fractional coordinates):
Hg  0.7339  0.1370  0.0676  2 Mg 2.74-2.81, 1 Rh 2.76, 1 Hg 2.94
Hg  0.3337  0.7661  0.4031  2 Mg 2.74-2.81, 1 Rh 2.76, 1 Hg 2.94
Hg  0.2339  0.5676  0.6370  2 Mg 2.74-2.81, 1 Rh 2.76, 1 Hg 2.94
Hg  0.5694  0.6370  0.4031  2 Mg 2.74-2.81, 1 Rh 2.76, 1 Hg 2.94
Hg  0.9306  0.0969  0.8630  2 Mg 2.74-2.81, 1 Rh 2.76, 1 Hg 2.94
Hg  0.5969  0.8630  0.4306  2 Mg 2.74-2.81, 1 Rh 2.76, 1 Hg 2.94
Hg  0.3337  0.5676  0.4306  2 Mg 2.74-2.81, 1 Rh 2.76, 1 Hg 2.94
Hg  0.0969  0.1663  0.2339  2 Mg 2.74-2.81, 1 Rh 2.76, 1 Hg 2.94
Hg  0.1663  0.0969  0.7339  2 Mg 2.74-2.81, 1 Rh 2.76, 1 Hg 2.94
Hg  0.8630  0.2661  0.4324  2 Mg 2.74-2.81, 1 Rh 2.76, 1 Hg 2.94
Hg  0.2661  0.8630  0.9324  2 Mg 2.74-2.81, 1 Rh 2.76, 1 Hg 2.94
Hg  0.4306  0.3630  0.5969  2 Mg 2.74-2.81, 1 Rh 2.76, 1 Hg 2.94
Hg  0.1370  0.4031  0.0694  2 Mg 2.74-2.81, 1 Rh 2.76, 1 Hg 2.94
Hg  0.4306  0.0676  0.3337  2 Mg 2.74-2.81, 1 Rh 2.76, 1 Hg 2.94
Hg  0.0969  0.9306  0.3630  2 Mg 2.74-2.81, 1 Rh 2.76, 1 Hg 2.94
Hg  0.9324  0.5694  0.1663  2 Mg 2.74-2.81, 1 Rh 2.76, 1 Hg 2.94
Hg  0.6370  0.0676  0.2339  2 Mg 2.74-2.81, 1 Rh 2.76, 1 Hg 2.94
Hg  0.8337  0.9031  0.2661  2 Mg 2.74-2.81, 1 Rh 2.76, 1 Hg 2.94
Hg  0.7661  0.4324  0.3630  2 Mg 2.74-2.81, 1 Rh 2.76, 1 Hg 2.94
Hg  0.5694  0.9324  0.6663  2 Mg 2.74-2.81, 1 Rh 2.76, 1 Hg 2.94
Hg  0.9031  0.0694  0.6370  2 Mg 2.74-2.81, 1 Rh 2.76, 1 Hg 2.94
Hg  0.4324  0.7661  0.8630  2 Mg 2.74-2.81, 1 Rh 2.76, 1 Hg 2.94
Hg  0.3630  0.9324  0.7661  2 Mg 2.74-2.81, 1 Rh 2.76, 1 Hg 2.94
Hg  0.8630  0.5969  0.9306  2 Mg 2.74-2.81, 1 Rh 2.76, 1 Hg 2.94
Hg  0.1370  0.7339  0.5676  2 Mg 2.74-2.81, 1 Rh 2.76, 1 Hg 2.94
Hg  0.0676  0.4306  0.8337  2 Mg 2.74-2.81, 1 Rh 2.76, 1 Hg 2.94
Hg  0.5676  0.3337  0.9306  2 Mg 2.74-2.81, 1 Rh 2.76, 1 Hg 2.94
Hg  0.0694  0.9031  0.1370  2 Mg 2.74-2.81, 1 Rh 2.76, 1 Hg 2.94
Hg  0.6663  0.2339  0.5969  2 Mg 2.74-2.81, 1 Rh 2.76, 1 Hg 2.94
Hg  0.0676  0.6370  0.7339  2 Mg 2.74-2.81, 1 Rh 2.76, 1 Hg 2.94
Hg  0.5969  0.7339  0.6663  2 Mg 2.74-2.81, 1 Rh 2.76, 1 Hg 2.94
Hg  0.2339  0.6663  0.0969  2 Mg 2.74-2.81, 1 Rh 2.76, 1 Hg 2.94
Hg  0.0694  0.1663  0.4324  2 Mg 2.74-2.81, 1 Rh 2.76, 1 Hg 2.94
Hg  0.6663  0.4324  0.5694  2 Mg 2.74-2.81, 1 Rh 2.76, 1 Hg 2.94
Hg  0.8337  0.9306  0.0676  2 Mg 2.74-2.81, 1 Rh 2.76, 1 Hg 2.94
Hg  0.4324  0.6663  0.0694  2 Mg 2.74-2.81, 1 Rh 2.76, 1 Hg 2.94
Hg  0.4031  0.2661  0.3337  2 Mg 2.74-2.81, 1 Rh 2.76, 1 Hg 2.94
Hg  0.9031  0.8337  0.7661  2 Mg 2.74-2.81, 1 Rh 2.76, 1 Hg 2.94
Hg  0.3630  0.4306  0.0969  2 Mg 2.74-2.81, 1 Rh 2.76, 1 Hg 2.94
Hg  0.1663  0.0694  0.9324  2 Mg 2.74-2.81, 1 Rh 2.76, 1 Hg 2.94
Hg  0.9306  0.8337  0.5676  2 Mg 2.74-2.81, 1 Rh 2.76, 1 Hg 2.94
Hg  0.7339  0.5969  0.1663  2 Mg 2.74-2.81, 1 Rh 2.76, 1 Hg 2.94
Hg  0.2661  0.4031  0.8337  2 Mg 2.74-2.81, 1 Rh 2.76, 1 Hg 2.94
Hg  0.4031  0.1370  0.5694  2 Mg 2.74-2.81, 1 Rh 2.76, 1 Hg 2.94
Hg  0.7661  0.3337  0.9031  2 Mg 2.74-2.81, 1 Rh 2.76, 1 Hg 2.94
Hg  0.6370  0.5694  0.9031  2 Mg 2.74-2.81, 1 Rh 2.76, 1 Hg 2.94
Hg  0.5676  0.2339  0.1370  2 Mg 2.74-2.81, 1 Rh 2.76, 1 Hg 2.94
Hg  0.9324  0.3630  0.2661  2 Mg 2.74-2.81, 1 Rh 2.76, 1 Hg 2.94
Mg  0.6250  0.7500  0.8750  4 Hg 2.74
Mg  0.3750  0.1250  0.7500  4 Hg 2.74
Mg  0.2500  0.8750  0.1250  4 Hg 2.74
Mg  0.2500  0.3750  0.6250  4 Hg 2.74
Mg  0.0000  0.0000  0.0000  6 Hg 2.81
Mg  0.5000  0.5000  0.5000  6 Hg 2.81
Mg  0.5000  0.5000  0.0000  6 Hg 2.81
Mg  0.3750  0.2500  0.1250  4 Hg 2.74
Mg  0.5000  0.0000  0.0000  6 Hg 2.81
Mg  0.7500  0.1250  0.8750  4 Hg 2.74
Mg  0.0000  0.5000  0.5000  6 Hg 2.81
Mg  0.8750  0.6250  0.7500  4 Hg 2.74
Mg  0.0000  0.5000  0.0000  6 Hg 2.81
Mg  0.6250  0.8750  0.2500  4 Hg 2.74
Mg  0.1250  0.3750  0.2500  4 Hg 2.74
Mg  0.1250  0.7500  0.3750  4 Hg 2.74
Mg  0.7500  0.6250  0.3750  4 Hg 2.74
Mg  0.0000  0.0000  0.5000  6 Hg 2.81
Mg  0.8750  0.2500  0.6250  4 Hg 2.74
Mg  0.5000  0.0000  0.5000  6 Hg 2.81
Rh  0.2500  0.6250  0.8750  8 Hg 2.76-3.07
Rh  0.1250  0.2500  0.8750  8 Hg 2.76-3.07
Rh  0.7500  0.3750  0.1250  8 Hg 2.76-3.07
Rh  0.3750  0.6250  0.2500  8 Hg 2.76-3.07
Rh  0.6250  0.2500  0.3750  8 Hg 2.76-3.07
Rh  0.3750  0.7500  0.6250  8 Hg 2.76-3.07
Rh  0.8750  0.1250  0.2500  8 Hg 2.76-3.07
Rh  0.1250  0.8750  0.7500  8 Hg 2.76-3.07
Rh  0.8750  0.7500  0.1250  8 Hg 2.76-3.07
Rh  0.6250  0.3750  0.7500  8 Hg 2.76-3.07
Rh  0.2500  0.1250  0.3750  8 Hg 2.76-3.07
Rh  0.7500  0.8750  0.6250  8 Hg 2.76-3.07

## Properties
* energy of formation from the pure elements: 0.224 eV per atom
* crystal system: cubic
* total energy: -1.46 eV/atom
* M_tot: 0.0 μB per formula unit
* D(E_F): 0.676 states/eV/atom
* space-group type: No. 230

---

A relaxed DyFe2I8 crystal. Source: Alexandria, functional PBE-GGA.

a b c (Å): 8.0402 8.0402 10.2309
angles (deg): 107.55 107.55 98.88
With the nearest neighbours (Å) after each atom.
Atoms (fractional coordinates):
I  0.2267  0.8812  0.8063  1 Fe 2.59
I  0.7733  0.1188  0.1937  1 Fe 2.59
I  0.2331  0.2331  0.5806  2 Fe 2.60-2.61
I  0.6923  0.6923  0.7882  1 Dy 2.93
I  0.3077  0.3077  0.2118  1 Dy 2.93
I  0.8812  0.2267  0.8063  1 Fe 2.59
I  0.7669  0.7669  0.4194  2 Fe 2.60-2.61
I  0.1188  0.7733  0.1937  1 Fe 2.59
Fe  0.0211  0.0211  0.6476  4 I 2.59-2.61, 1 Fe 2.84
Fe  0.9789  0.9789  0.3524  4 I 2.59-2.61, 1 Fe 2.84
Dy  0.0000  0.0000  0.0000  6 I 2.93-3.12

## Properties
* formation energy (no corrections): -0.580 eV per atom
* crystal system: monoclinic
* total energy: -3.66 eV/atom
* M_tot: 9.0 μB per formula unit
* space-group type: No. 12